[1]
A geometry-optimized BaCo2Os structure. Source: Alexandria, functional PBE.

```
data_BaCo2Os
_chemical_formula_sum 'Ba1 Co2 Os1'
_cell_length_a 9.3673
_cell_length_b 9.3673
_cell_length_c 9.3673
_cell_angle_alpha 18.44
_cell_angle_beta 18.44
_cell_angle_gamma 18.44
_symmetry_space_group_name_H-M 'P 1'
_symmetry_Int_Tables_number 1
loop_
_symmetry_equiv_pos_as_xyz
'x,y,z'
loop_
_atom_site_label
_atom_site_fract_x
_atom_site_fract_y
_atom_site_fract_z
Ba1 0.0000 0.0000 0.0000
Co1 0.4942 0.4942 0.4942
Co2 0.7715 0.7715 0.7715
Os1 0.2283 0.2283 0.2283
```

Results
The calculation puts the excess energy over the best structure of this formula in the dataset at 312 kJ/mol of formula units. The formation energy from the elements comes out at 1.107 eV per atom. The space group is R3m.


[2]
A geometry-optimized Li3Ga2Ag3Hg structure. Source: Alexandria, functional PBE.

```
data_Li3Ga2Ag3Hg
_chemical_formula_sum 'Li3 Ga2 Ag3 Hg1'
_cell_length_a 7.7871
_cell_length_b 7.7871
_cell_length_c 2.9096
_cell_angle_alpha 90.00
_cell_angle_beta 90.00
_cell_angle_gamma 120.00
_symmetry_space_group_name_H-M 'P 1'
_symmetry_Int_Tables_number 1
loop_
_symmetry_equiv_pos_as_xyz
'x,y,z'
loop_
_atom_site_label
_atom_site_fract_x
_atom_site_fract_y
_atom_site_fract_z
Li1 0.0000 0.6967 0.0000
Li2 0.3033 0.3033 0.0000
Li3 0.6967 0.0000 0.0000
Ga1 0.3333 0.6667 0.0000
Ga2 0.6667 0.3333 0.0000
Ag1 0.0000 0.3785 0.5000
Ag2 0.3785 0.0000 0.5000
Ag3 0.6215 0.6215 0.5000
Hg1 0.0000 0.0000 0.5000
```

Results
The formation energy from the elements comes out at -0.219 eV per atom. The space group is P-62m.


[3]
A geometry-optimized CdFeAs3 structure. Source: Alexandria, functional PBE.

```
data_CdFeAs3
_chemical_formula_sum 'Cd1 Fe1 As3'
_cell_length_a 4.6426
_cell_length_b 4.6426
_cell_length_c 4.6426
_cell_angle_alpha 90.00
_cell_angle_beta 90.00
_cell_angle_gamma 90.00
_symmetry_space_group_name_H-M 'P 1'
_symmetry_Int_Tables_number 1
loop_
_symmetry_equiv_pos_as_xyz
'x,y,z'
loop_
_atom_site_label
_atom_site_fract_x
_atom_site_fract_y
_atom_site_fract_z
Cd1 0.0000 0.0000 0.0000
Fe1 0.5000 0.5000 0.5000
As1 0.0000 0.5000 0.5000
As2 0.5000 0.0000 0.5000
As3 0.5000 0.5000 0.0000
```

Results
The calculation puts the excess energy over the best structure of this formula in the dataset at 0 kJ/mol of formula units. The formation energy from the elements comes out at 0.369 eV per atom. The space group is Pm-3m.


[4]
A geometry-optimized Y2CrBr structure. Source: Alexandria, functional PBE.

```
data_Y2CrBr
_chemical_formula_sum 'Y2 Cr1 Br1'
_cell_length_a 3.4477
_cell_length_b 3.4477
_cell_length_c 8.3079
_cell_angle_alpha 90.00
_cell_angle_beta 90.00
_cell_angle_gamma 90.00
_symmetry_space_group_name_H-M 'P 1'
_symmetry_Int_Tables_number 1
loop_
_symmetry_equiv_pos_as_xyz
'x,y,z'
loop_
_atom_site_label
_atom_site_fract_x
_atom_site_fract_y
_atom_site_fract_z
Y1 0.0000 0.0000 0.2140
Y2 0.0000 0.0000 0.7860
Cr1 0.5000 0.5000 0.0000
Br1 0.5000 0.5000 0.5000
```

Results
The calculation puts the excess energy over the best structure of this formula in the dataset at 24 kJ/mol of formula units. Its formation energy (no corrections) is -100 kJ/mol of formula units. The space group is P4/mmm.


[5]
A geometry-optimized Zn5Cd2Pd2Au structure. Source: Alexandria, functional PBE.

```
data_Zn5Cd2Pd2Au
_chemical_formula_sum 'Zn10 Cd4 Pd4 Au2'
_cell_length_a 9.3085
_cell_length_b 9.3085
_cell_length_c 3.9548
_cell_angle_alpha 90.00
_cell_angle_beta 90.00
_cell_angle_gamma 90.00
_symmetry_space_group_name_H-M 'P 1'
_symmetry_Int_Tables_number 1
loop_
_symmetry_equiv_pos_as_xyz
'x,y,z'
loop_
_atom_site_label
_atom_site_fract_x
_atom_site_fract_y
_atom_site_fract_z
Zn1 0.0000 0.5000 0.0000
Zn2 0.0744 0.1977 0.0000
Zn3 0.1977 0.9256 0.0000
Zn4 0.3023 0.4256 0.0000
Zn5 0.4256 0.6977 0.0000
Zn6 0.5000 0.0000 0.0000
Zn7 0.5744 0.3023 0.0000
Zn8 0.6977 0.5744 0.0000
Zn9 0.8023 0.0744 0.0000
Zn10 0.9256 0.8023 0.0000
Cd1 0.1726 0.6726 0.5000
Cd2 0.3274 0.1726 0.5000
Cd3 0.6726 0.8274 0.5000
Cd4 0.8274 0.3274 0.5000
Pd1 0.1227 0.3773 0.5000
Pd2 0.3773 0.8773 0.5000
Pd3 0.6227 0.1227 0.5000
Pd4 0.8773 0.6227 0.5000
Au1 0.0000 0.0000 0.5000
Au2 0.5000 0.5000 0.5000
```

Results
The formation energy from the elements comes out at -0.234 eV per atom. The space group is P4/mbm.


[6]
A geometry-optimized La4Tm3ScS8 structure. Source: Alexandria, functional PBE.

```
data_La4Tm3ScS8
_chemical_formula_sum 'La4 Tm3 Sc1 S8'
_cell_length_a 8.0907
_cell_length_b 8.0907
_cell_length_c 8.0907
_cell_angle_alpha 57.96
_cell_angle_beta 57.96
_cell_angle_gamma 57.96
_symmetry_space_group_name_H-M 'P 1'
_symmetry_Int_Tables_number 1
loop_
_symmetry_equiv_pos_as_xyz
'x,y,z'
loop_
_atom_site_label
_atom_site_fract_x
_atom_site_fract_y
_atom_site_fract_z
La1 0.0000 0.0000 0.0000
La2 0.0000 0.5000 0.5000
La3 0.5000 0.0000 0.5000
La4 0.5000 0.5000 0.0000
Tm1 0.0000 0.0000 0.5000
Tm2 0.0000 0.5000 0.0000
Tm3 0.5000 0.0000 0.0000
Sc1 0.5000 0.5000 0.5000
S1 0.2409 0.2409 0.2409
S2 0.2449 0.7374 0.7374
S3 0.2626 0.2626 0.7551
S4 0.2626 0.7551 0.2626
S5 0.7374 0.2449 0.7374
S6 0.7374 0.7374 0.2449
S7 0.7551 0.2626 0.2626
S8 0.7591 0.7591 0.7591
```

Results
Its formation energy (no corrections) is -3150 kJ/mol of formula units. The space group is R-3m.


[7]
A geometry-optimized Mg2MnNiW structure. Source: Alexandria, functional PBE.

```
data_Mg2MnNiW
_chemical_formula_sum 'Mg2 Mn1 Ni1 W1'
_cell_length_a 4.5890
_cell_length_b 4.5890
_cell_length_c 4.5749
_cell_angle_alpha 90.00
_cell_angle_beta 90.00
_cell_angle_gamma 90.00
_symmetry_space_group_name_H-M 'P 1'
_symmetry_Int_Tables_number 1
loop_
_symmetry_equiv_pos_as_xyz
'x,y,z'
loop_
_atom_site_label
_atom_site_fract_x
_atom_site_fract_y
_atom_site_fract_z
Mg1 0.0000 0.5000 0.0000
Mg2 0.5000 0.0000 0.0000
Mn1 0.0000 0.0000 0.5000
Ni1 0.5000 0.5000 0.0000
W1 0.5000 0.5000 0.5000
```

Results
The formation energy from the elements comes out at 0.851 eV per atom. The space group is P4/mmm.


[8]
A geometry-optimized Pm4Ge6Ir7 structure. Source: Alexandria, functional PBE.

```
data_Pm4Ge6Ir7
_chemical_formula_sum 'Pm4 Ge6 Ir7'
_cell_length_a 7.3882
_cell_length_b 7.3882
_cell_length_c 7.3882
_cell_angle_alpha 109.47
_cell_angle_beta 109.47
_cell_angle_gamma 109.47
_symmetry_space_group_name_H-M 'P 1'
_symmetry_Int_Tables_number 1
loop_
_symmetry_equiv_pos_as_xyz
'x,y,z'
loop_
_atom_site_label
_atom_site_fract_x
_atom_site_fract_y
_atom_site_fract_z
Pm1 0.0000 0.0000 0.5000
Pm2 0.0000 0.5000 0.0000
Pm3 0.5000 0.0000 0.0000
Pm4 0.5000 0.5000 0.5000
Ge1 0.0000 0.3232 0.3232
Ge2 0.0000 0.6768 0.6768
Ge3 0.3232 0.0000 0.3232
Ge4 0.3232 0.3232 0.0000
Ge5 0.6768 0.0000 0.6768
Ge6 0.6768 0.6768 0.0000
Ir1 0.0000 0.0000 0.0000
Ir2 0.2500 0.5000 0.7500
Ir3 0.2500 0.7500 0.5000
Ir4 0.5000 0.2500 0.7500
Ir5 0.5000 0.7500 0.2500
Ir6 0.7500 0.2500 0.5000
Ir7 0.7500 0.5000 0.2500
```

Results
The formation energy from the elements comes out at -0.788 eV per atom. The space group is Im-3m.


[9]
A geometry-optimized TcWN structure. Source: Alexandria, functional PBE.

```
data_TcWN
_chemical_formula_sum 'Tc2 W2 N2'
_cell_length_a 5.3626
_cell_length_b 5.3626
_cell_length_c 4.9365
_cell_angle_alpha 99.06
_cell_angle_beta 99.06
_cell_angle_gamma 30.80
_symmetry_space_group_name_H-M 'P 1'
_symmetry_Int_Tables_number 1
loop_
_symmetry_equiv_pos_as_xyz
'x,y,z'
loop_
_atom_site_label
_atom_site_fract_x
_atom_site_fract_y
_atom_site_fract_z
Tc1 0.0000 0.0000 0.0000
Tc2 0.7196 0.7196 0.9026
W1 0.2257 0.2257 0.4103
W2 0.5044 0.5044 0.5089
N1 0.3663 0.3663 0.7886
N2 0.8669 0.8669 0.2991
```

Results
The calculation puts the excess energy over the best structure of this formula in the dataset at 5 kJ/mol of formula units. Its formation energy (no corrections) is -34 kJ/mol of formula units. The space group is Cm.


[10]
A geometry-optimized Ce2ScIn3 structure. Source: Alexandria, functional PBE.

```
data_Ce2ScIn3
_chemical_formula_sum 'Ce4 Sc2 In6'
_cell_length_a 6.3963
_cell_length_b 6.3963
_cell_length_c 8.8990
_cell_angle_alpha 90.00
_cell_angle_beta 90.00
_cell_angle_gamma 120.00
_symmetry_space_group_name_H-M 'P 1'
_symmetry_Int_Tables_number 1
loop_
_symmetry_equiv_pos_as_xyz
'x,y,z'
loop_
_atom_site_label
_atom_site_fract_x
_atom_site_fract_y
_atom_site_fract_z
Ce1 0.3333 0.6667 0.0889
Ce2 0.3333 0.6667 0.4111
Ce3 0.6667 0.3333 0.5889
Ce4 0.6667 0.3333 0.9111
Sc1 0.0000 0.0000 0.0000
Sc2 0.0000 0.0000 0.5000
In1 0.1776 0.3551 0.7500
In2 0.1776 0.8224 0.7500
In3 0.3551 0.1776 0.2500
In4 0.6449 0.8224 0.7500
In5 0.8224 0.1776 0.2500
In6 0.8224 0.6449 0.2500
```

Results
The formation energy from the elements comes out at -0.388 eV per atom. The space group is P6_3/mmc.


V: 71.83; 152.80; 100.07; 98.75; 342.67; 356.99; 96.34; 310.46; 71.72; 315.30 (Å³/cell)